Record 1
A geometry-optimized PaBe2B4 structure. Source: Alexandria, functional PBE.

The electronic total energy comes out at -6.51 eV/atom. The energy of formation from the pure elements is -0.2723 eV/atom.

It has space group R-3m (No. 166, hexagonal axes), with a = 3.1006 Å, b = 3.1006 Å, c = 22.7198 Å, α = 90.00°, β = 90.00° and γ = 120.00°. Symmetry generates all atoms from Pa at (0.0000, 0.0000, 0.0000), Be at (0.0000, 0.0000, 0.1356), B at (0.0000, 0.0000, 0.2343) and B at (0.0000, 0.0000, 0.4218).

---

Record 2
A geometry-optimized Pa2Be16B structure. Source: Alexandria, functional PBE.

The electronic total energy comes out at -4.52 eV/atom. The energy of formation from the pure elements is -0.0312 eV/atom.

It has space group R3m (No. 160, hexagonal axes), with a = 7.7090 Å, b = 7.7090 Å, c = 11.2531 Å, α = 90.00°, β = 90.00° and γ = 120.00°. Symmetry generates all atoms from Pa at (0.0000, 0.0000, 0.0000), Pa at (0.0000, 0.0000, 0.3234), Be at (0.0000, 0.0000, 0.5759), Be at (0.9998, 0.2780, 0.6617), Be at (0.0048, 0.5024, 0.5004), Be at (0.1674, 0.3349, 0.4954), Be at (0.1681, 0.3361, 0.1565) and B at (0.0000, 0.0000, 0.7613).

---

Record 3
A geometry-optimized PaBe2B structure. Source: Alexandria, functional PBE.

The electronic total energy comes out at -6.05 eV/atom. The energy of formation from the pure elements is -0.1455 eV/atom.

It has space group R-3m (No. 166, hexagonal axes), with a = 3.3233 Å, b = 3.3233 Å, c = 14.9942 Å, α = 90.00°, β = 90.00° and γ = 120.00°. Symmetry generates all atoms from Pa at (0.0000, 0.0000, 0.0000), Be at (0.0000, 0.0000, 0.1930) and B at (0.0000, 0.0000, 0.5000).

---

Record 4
A geometry-optimized Pa3Be3B8 structure. Source: Alexandria, functional PBE.

The electronic total energy comes out at -6.88 eV/atom. The energy of formation from the pure elements is -0.2346 eV/atom.

It has space group Immm (No. 71), with a = 3.268 Å, b = 6.997 Å, c = 13.465 Å, α = 90.00°, β = 90.00° and γ = 90.00°. Symmetry generates all atoms from Pa at (0.000, 0.000, 0.000), Pa at (0.000, 0.000, 0.282), Be at (0.000, 0.188, 0.500), Be at (0.000, 0.500, 0.000), B at (0.000, 0.254, 0.132) and B at (0.000, 0.365, 0.366).

---

Record 5
A geometry-optimized PaBe4B4 structure. Source: Alexandria, functional PBE.

The electronic total energy comes out at -5.97 eV/atom. The energy of formation from the pure elements is -0.2932 eV/atom.

It has space group I4/m (No. 87), with a = 7.271 Å, b = 7.271 Å, c = 3.057 Å, α = 90.00°, β = 90.00° and γ = 90.00°. Symmetry generates all atoms from Pa at (0.000, 0.000, 0.000), Be at (0.063, 0.650, 0.500) and B at (0.188, 0.262, 0.500).

---

Record 6
A geometry-optimized Pa3Be2B9 structure. Source: Alexandria, functional PBE.

The electronic total energy comes out at -7.07 eV/atom. The energy of formation from the pure elements is -0.2109 eV/atom.

It has space group Immm (No. 71), with a = 3.082 Å, b = 7.764 Å, c = 12.459 Å, α = 90.00°, β = 90.00° and γ = 90.00°. Symmetry generates all atoms from Pa at (0.000, 0.000, 0.000), Pa at (0.000, 0.000, 0.265), Be at (0.000, 0.159, 0.500), B at (0.000, 0.296, 0.116), B at (0.000, 0.298, 0.372) and B at (0.000, 0.500, 0.000).

---

Record 7
A geometry-optimized PaBe2B6 structure. Source: Alexandria, functional PBE.

The electronic total energy comes out at -6.61 eV/atom. The energy of formation from the pure elements is -0.2798 eV/atom.

It has space group Immm (No. 71), with a = 3.084 Å, b = 6.239 Å, c = 8.045 Å, α = 90.00°, β = 90.00° and γ = 90.00°. Symmetry generates all atoms from Pa at (0.000, 0.000, 0.000), Be at (0.000, 0.500, 0.146), B at (0.000, 0.139, 0.500) and B at (0.000, 0.245, 0.301).

---

Record 8
A geometry-optimized Be2BPb structure. Source: Alexandria, functional PBE.

The electronic total energy comes out at -3.07 eV/atom. The energy of formation from the pure elements is 1.3939 eV/atom.

It has space group Fm-3m (No. 225), with a = 6.098 Å, b = 6.098 Å, c = 6.098 Å, α = 90.00°, β = 90.00° and γ = 90.00°. Symmetry generates all atoms from Be at (0.250, 0.250, 0.250), B at (0.000, 0.000, 0.000) and Pb at (0.000, 0.000, 0.500).

---

Record 9
A geometry-optimized Be2BPb structure. Source: Alexandria, functional PBE.

The electronic total energy comes out at -3.93 eV/atom. The energy of formation from the pure elements is 0.5261 eV/atom.

It has space group I4_1/amd (No. 141, origin choice 2), with a = 4.255 Å, b = 4.255 Å, c = 12.717 Å, α = 90.00°, β = 90.00° and γ = 90.00°. Symmetry generates all atoms from Be at (0.000, 0.000, 0.000), B at (0.000, 0.250, 0.875) and Pb at (0.000, 0.250, 0.375).

---

Record 10
A geometry-optimized BeB2PdPb structure. Source: Alexandria, functional PBE.

The electronic total energy comes out at -4.25 eV/atom. The energy of formation from the pure elements is 0.9442 eV/atom.

It has space group P4/mmm (No. 123), with a = 4.162 Å, b = 4.162 Å, c = 4.521 Å, α = 90.00°, β = 90.00° and γ = 90.00°. Symmetry generates all atoms from Be at (0.000, 0.000, 0.000), B at (0.000, 0.500, 0.500), Pd at (0.000, 0.000, 0.500) and Pb at (0.500, 0.500, 0.000).

---

Record 11
A geometry-optimized Be2TlBPb structure. Source: Alexandria, functional PBE.

The electronic total energy comes out at -2.51 eV/atom. The energy of formation from the pure elements is 1.5289 eV/atom.

It has space group P4/mmm (No. 123), with a = 4.568 Å, b = 4.568 Å, c = 4.981 Å, α = 90.00°, β = 90.00° and γ = 90.00°. Symmetry generates all atoms from Be at (0.000, 0.500, 0.000), Tl at (0.000, 0.000, 0.000), B at (0.000, 0.000, 0.500) and Pb at (0.500, 0.500, 0.500).

---

Record 12
A geometry-optimized Y2BeBPb structure. Source: Alexandria, functional PBE.

The electronic total energy comes out at -5.64 eV/atom. The energy of formation from the pure elements is -0.2358 eV/atom.

It has space group P4/mmm (No. 123), with a = 5.208 Å, b = 5.208 Å, c = 3.838 Å, α = 90.00°, β = 90.00° and γ = 90.00°. Symmetry generates all atoms from Y at (0.000, 0.500, 0.000), Be at (0.000, 0.000, 0.500), B at (0.000, 0.000, 0.000) and Pb at (0.500, 0.500, 0.500).

---

> Among the records above, which one has the lowest energy of formation from the pure elements?

PaBe4B4